{"formula": "ScNbFe", "functional": "PBE", "state": "optimized geometry", "lattice": [[8.5343, 0.0000, 0.0000], [0.0000, 2.6745, 4.4864], [0.0000, -2.6745, 4.4864]], "species": ["Sc", "Sc", "Sc", "Sc", "Nb", "Nb", "Nb", "Nb", "Fe", "Fe", "Fe", "Fe"], "frac_coords": [[0.1718, 0.0000, 0.0000], [0.2971, 0.3315, 0.3315], [0.7029, 0.3315, 0.3315], [0.8282, 0.0000, 0.0000], [0.2197, 0.6704, 0.6704], [0.5000, 0.3185, 0.8263], [0.5000, 0.8263, 0.3185], [0.7803, 0.6704, 0.6704], [0.0000, 0.0253, 0.4863], [0.0000, 0.4826, 0.4826], [0.0000, 0.4863, 0.0253], [0.5000, 0.8254, 0.8254]], "de_polymorph_kj_per_mol_atoms": 0.0, "ef_ev_per_atom": -0.067, "total_magnetization_mub_per_atom": 0.13}